*P*
! ReIr (PBEsol, optimized geometry); values from VASP
! - DOS(E_F): 1.34 states/eV/cell
! - Magnetization: 0.000 μB/f.u.
! - Symmetry: No. 187
! - Calculated volume: 14.20 Å³ per atom
&SYSTEM
  ibrav = 0, nat = 2, ntyp = 2
/
ATOMIC_SPECIES
Re 186.21 Re.upf
Ir 192.22 Ir.upf
CELL_PARAMETERS angstrom
2.7386 0.0000 0.0000
-1.3693 2.3717 0.0000
0.0000 0.0000 4.3728
ATOMIC_POSITIONS angstrom
Re 0.0000 0.0000 0.0000
Ir 1.3693 0.7906 2.1864

---

*Q*
! ReIr (PBEsol, optimized geometry); values from VASP
! - DOS(E_F): 3.09 states/eV/cell
! - Magnetization: 0.000 μB/f.u.
! - Symmetry: No. 166
! - Calculated volume: 15.48 Å³ per atom
&SYSTEM
  ibrav = 0, nat = 4, ntyp = 2
/
ATOMIC_SPECIES
Re 186.21 Re.upf
Ir 192.22 Ir.upf
CELL_PARAMETERS angstrom
2.1446 1.2382 3.8855
-2.1446 1.2382 3.8855
0.0000 -2.4764 3.8855
ATOMIC_POSITIONS angstrom
Re 0.0000 0.0000 1.9355
Re 0.0000 0.0000 9.7212
Ir 0.0000 0.0000 4.5214
Ir 0.0000 0.0000 7.1353

---

*R*
! ReIr (PBEsol, optimized geometry); values from VASP
! - DOS(E_F): 2.01 states/eV/cell
! - Magnetization: 0.000 μB/f.u.
! - Symmetry: No. 51
! - Calculated volume: 14.19 Å³ per atom
&SYSTEM
  ibrav = 0, nat = 4, ntyp = 2
/
ATOMIC_SPECIES
Re 186.21 Re.upf
Ir 192.22 Ir.upf
CELL_PARAMETERS angstrom
4.3597 0.0000 0.0000
0.0000 2.7184 0.0000
0.0000 0.0000 4.7908
ATOMIC_POSITIONS angstrom
Re 1.0899 0.0000 0.7860
Re 3.2698 0.0000 4.0048
Ir 1.0899 1.3592 3.1954
Ir 3.2698 1.3592 1.5954

---

*S*
! ReIr (PBEsol, optimized geometry); values from VASP
! - DOS(E_F): 2.94 states/eV/cell
! - Magnetization: 0.000 μB/f.u.
! - Symmetry: No. 141
! - Calculated volume: 14.24 Å³ per atom
&SYSTEM
  ibrav = 0, nat = 4, ntyp = 2
/
ATOMIC_SPECIES
Re 186.21 Re.upf
Ir 192.22 Ir.upf
CELL_PARAMETERS angstrom
-1.9390 1.9390 3.7878
1.9390 -1.9390 3.7878
1.9390 1.9390 -3.7878
ATOMIC_POSITIONS angstrom
Re 1.9390 0.9695 0.9469
Re 0.0000 0.9695 2.8408
Ir 1.9390 -0.9695 2.8408
Ir 0.0000 2.9086 0.9469

---

According to the calculations, the structures order from most to least stable as *R*, *P*, *S*, *Q*.

---

*P*
! ReIr (PBEsol, optimized geometry); values from VASP
! - DOS(E_F): 4.05 states/eV/cell
! - Magnetization: 0.000 μB/f.u.
! - Symmetry: No. 129
! - Calculated volume: 14.65 Å³ per atom
&SYSTEM
  ibrav = 0, nat = 4, ntyp = 2
/
ATOMIC_SPECIES
Re 186.21 Re.upf
Ir 192.22 Ir.upf
CELL_PARAMETERS angstrom
3.2652 0.0000 0.0000
0.0000 3.2652 0.0000
0.0000 0.0000 5.4976
ATOMIC_POSITIONS angstrom
Re 0.8163 0.8163 0.7326
Re 2.4489 2.4489 4.7651
Ir 0.8163 0.8163 3.3936
Ir 2.4489 2.4489 2.1041

---

*Q*
! ReIr (PBEsol, optimized geometry); values from VASP
! - DOS(E_F): 2.79 states/eV/cell
! - Magnetization: 0.000 μB/f.u.
! - Symmetry: No. 12
! - Calculated volume: 14.21 Å³ per atom
&SYSTEM
  ibrav = 0, nat = 4, ntyp = 2
/
ATOMIC_SPECIES
Re 186.21 Re.upf
Ir 192.22 Ir.upf
CELL_PARAMETERS angstrom
4.9575 -1.3641 0.0000
4.9575 1.3641 0.0000
-2.2520 0.0000 4.2019
ATOMIC_POSITIONS angstrom
Re 0.5907 0.0000 1.2206
Re 7.0724 0.0000 2.9813
Ir 3.2816 0.0000 0.8735
Ir 4.3815 0.0000 3.3284

---

*R*
! ReIr (PBEsol, optimized geometry); values from VASP
! - DOS(E_F): 3.49 states/eV/cell
! - Magnetization: 0.000 μB/f.u.
! - Symmetry: No. 8
! - Calculated volume: 14.20 Å³ per atom
&SYSTEM
  ibrav = 0, nat = 6, ntyp = 2
/
ATOMIC_SPECIES
Re 186.21 Re.upf
Ir 192.22 Ir.upf
CELL_PARAMETERS angstrom
4.9697 -1.3637 0.0000
4.9697 1.3637 0.0000
-1.5572 0.0000 6.2878
ATOMIC_POSITIONS angstrom
Re 0.0000 0.0000 0.0000
Re -0.3689 0.0000 3.8539
Re 3.4094 0.0000 1.7597
Ir 2.3318 0.0000 4.2129
Ir 6.0840 0.0000 2.0915
Ir 5.6966 0.0000 5.9520

---

According to the calculations, the structures order from most to least stable as *R*, *Q*, *P*.

---

*P*
! ReIrRh2 (PBEsol, optimized geometry); values from VASP
! - DOS(E_F): 3.51 states/eV/cell
! - Magnetization: 0.000 μB/f.u.
! - Symmetry: No. 25
! - Calculated volume: 13.83 Å³ per atom
&SYSTEM
  ibrav = 0, nat = 4, ntyp = 3
/
ATOMIC_SPECIES
Re 186.21 Re.upf
Ir 192.22 Ir.upf
Rh 102.91 Rh.upf
CELL_PARAMETERS angstrom
2.6872 0.0000 0.0000
0.0000 3.8222 0.0000
0.0000 0.0000 5.3852
ATOMIC_POSITIONS angstrom
Re 0.0000 0.0000 0.0000
Ir 1.3436 1.9111 4.0574
Rh 0.0000 0.0000 2.6860
Rh 1.3436 1.9111 1.3414

---

*Q*
! ReIrRh2 (PBEsol, optimized geometry); values from VASP
! - DOS(E_F): 3.45 states/eV/cell
! - Magnetization: 0.000 μB/f.u.
! - Symmetry: No. 47
! - Calculated volume: 13.83 Å³ per atom
&SYSTEM
  ibrav = 0, nat = 4, ntyp = 3
/
ATOMIC_SPECIES
Re 186.21 Re.upf
Ir 192.22 Ir.upf
Rh 102.91 Rh.upf
CELL_PARAMETERS angstrom
2.6786 0.0000 0.0000
0.0000 3.8444 0.0000
0.0000 0.0000 5.3723
ATOMIC_POSITIONS angstrom
Re 0.0000 0.0000 0.0000
Ir 0.0000 0.0000 2.6862
Rh 1.3393 1.9222 1.3256
Rh 1.3393 1.9222 4.0467

---

According to the calculations, the structures order from most to least stable as *P*, *Q*.

---

*P*
! ReIrRh2 (PBEsol, optimized geometry); values from VASP
! - DOS(E_F): 4.33 states/eV/cell
! - Magnetization: 0.000 μB/f.u.
! - Symmetry: No. 99
! - Calculated volume: 13.91 Å³ per atom
&SYSTEM
  ibrav = 0, nat = 4, ntyp = 3
/
ATOMIC_SPECIES
Re 186.21 Re.upf
Ir 192.22 Ir.upf
Rh 102.91 Rh.upf
CELL_PARAMETERS angstrom
2.6951 0.0000 0.0000
0.0000 2.6951 0.0000
0.0000 0.0000 7.6614
ATOMIC_POSITIONS angstrom
Re 0.0000 0.0000 0.0000
Ir 1.3475 1.3475 5.7576
Rh 0.0000 0.0000 3.8238
Rh 1.3475 1.3475 1.8823

---

*Q*
! ReIrRh2 (PBEsol, optimized geometry); values from VASP
! - DOS(E_F): 4.46 states/eV/cell
! - Magnetization: 0.000 μB/f.u.
! - Symmetry: No. 99
! - Calculated volume: 14.19 Å³ per atom
&SYSTEM
  ibrav = 0, nat = 4, ntyp = 3
/
ATOMIC_SPECIES
Re 186.21 Re.upf
Ir 192.22 Ir.upf
Rh 102.91 Rh.upf
CELL_PARAMETERS angstrom
3.2513 0.0000 0.0000
0.0000 3.2513 0.0000
0.0000 0.0000 5.3703
ATOMIC_POSITIONS angstrom
Re 0.0000 0.0000 0.0000
Ir 1.6256 1.6256 4.0412
Rh 0.0000 0.0000 2.6960
Rh 1.6256 1.6256 1.3594

---

*R*
! ReIrRh2 (PBEsol, optimized geometry); values from VASP
! - DOS(E_F): 4.13 states/eV/cell
! - Magnetization: 0.000 μB/f.u.
! - Symmetry: No. 123
! - Calculated volume: 13.85 Å³ per atom
&SYSTEM
  ibrav = 0, nat = 4, ntyp = 3
/
ATOMIC_SPECIES
Re 186.21 Re.upf
Ir 192.22 Ir.upf
Rh 102.91 Rh.upf
CELL_PARAMETERS angstrom
2.6781 0.0000 0.0000
0.0000 2.6781 0.0000
0.0000 0.0000 7.7228
ATOMIC_POSITIONS angstrom
Re 0.0000 0.0000 0.0000
Ir 0.0000 0.0000 3.8614
Rh 1.3391 1.3391 1.9135
Rh 1.3391 1.3391 5.8094

---

According to the calculations, the structures order from most to least stable as *P*, *R*, *Q*.